[1]
Crystalline RbNd3Te4O12 at its relaxed geometry. Source: Alexandria, functional PBE.

```
20
Lattice="6.4616 3.7306 2.8196 -6.4616 3.7306 2.8196 0.0000 -7.4612 2.8196" Properties=species:S:1:pos:R:3 pbc="T T T"
Rb 0.0000 0.0000 0.0000
Nd -3.5967 -1.2315 2.8196
Nd -3.5967 1.2315 5.6391
Nd 0.7318 3.7306 2.8196
Te -2.8862 -4.9991 4.2293
Te 0.0000 0.0000 4.2293
Te -2.8862 4.9991 4.2293
Te 5.7724 0.0000 4.2293
O -3.6422 -3.1929 4.1967
O -5.0166 0.0000 4.2293
O -0.9440 -4.7507 4.2620
O -2.0557 0.0000 4.2294
O -3.6422 3.1929 4.2620
O 2.5083 -4.3445 4.2293
O 1.0278 -1.7803 4.2293
O -0.9440 4.7507 4.1967
O 1.0278 1.7803 4.2293
O 4.5862 -1.5578 4.1967
O 2.5083 4.3445 4.2293
O 4.5862 1.5578 4.2620
```

Calculated values
Space group: R32 (155)
Formation energy without anion corrections in eV per atom: -1.68


[2]
Crystalline NaAcLaSe3 at its relaxed geometry. Source: Alexandria, functional PBE.

```
12
Lattice="8.9089 0.0000 0.0000 0.0000 4.3188 0.0000 -2.3243 0.0000 9.2341" Properties=species:S:1:pos:R:3 pbc="T T T"
Na 0.6473 1.0797 0.7789
Na 5.9373 3.2391 8.4552
Ac 0.0477 1.0797 6.6601
Ac 6.5369 3.2391 2.5740
La 2.2114 3.2391 3.1414
La 4.3731 1.0797 6.0927
Se -0.0271 1.0797 3.4554
Se -0.1745 3.2391 9.1368
Se 2.2726 3.2391 6.1820
Se 4.3119 1.0797 3.0521
Se 6.7591 1.0797 0.0973
Se 6.6116 3.2391 5.7787
```

Calculated values
Space group: P2_1/m (11)
Formation energy without anion corrections in eV per atom: -1.64


[3]
Crystalline Cr2IrCl at its relaxed geometry. Source: Alexandria, functional PBE.

```
8
Lattice="9.8676 0.0000 0.0000 0.0000 2.8819 0.0000 -0.3096 0.0000 4.2269" Properties=species:S:1:pos:R:3 pbc="T T T"
Cr 0.0000 0.0000 0.0000
Cr 1.8656 1.4409 1.3290
Cr 4.9338 1.4409 0.0000
Cr 6.7994 0.0000 1.3290
Ir 4.0848 0.0000 1.9085
Ir 9.0186 1.4409 1.9085
Cl 1.8666 0.0000 3.3576
Cl 6.8003 1.4409 3.3576
```

Calculated values
Space group: Cm (8)
Offset from the most stable computed form in eV/atom: 0.233
Formation energy without anion corrections in eV per atom: 0.31